Compound: Ta4Mo
Source: Alexandria via LeMat-Bulk
Functional: SCAN
Structure: single point on PBEsol structure

Geometry as POSCAR:
```
Ta4Mo
1.0
-4.423 0.697 -0.964
-2.117 -2.648 -3.080
-3.396 -3.646 2.064
Mo Ta
1 4
Cartesian
0.000 0.000 0.000 Mo
-2.686 -1.896 0.071 Ta
-5.344 -3.724 0.063 Ta
-4.593 -1.874 -2.044 Ta
-7.251 -3.701 -2.051 Ta
```

- formation enthalpy at 0 K (eV per atom) = -0.088
- DOS at the Fermi energy (states/eV/f.u.) = 5.363
- polymorph energy (0 for the lowest one) (eV per atom) = 0.0106
- M_tot (μB per atom) = 0.0000


Compound: Li2RuBr
Source: Alexandria via LeMat-Bulk
Functional: SCAN
Structure: single point on PBEsol structure

Geometry as POSCAR:
```
Li2RuBr
1.0
3.630 0.000 0.000
0.000 3.882 0.000
0.000 0.000 3.882
Br Li Ru
1 2 1
Cartesian
1.815 0.000 0.000 Br
0.000 0.000 1.941 Li
0.000 1.941 0.000 Li
1.815 1.941 1.941 Ru
```

- DOS at the Fermi energy (states/eV/f.u.) = 0.979
- polymorph energy (0 for the lowest one) (eV per atom) = 0.0000
- E_form (uncorrected) (kJ/mol of atoms) = 8.3
- M_tot (μB per atom) = 0.2663


Compound: ZnW2Cl
Source: Alexandria via LeMat-Bulk
Functional: SCAN
Structure: single point on PBEsol structure

Geometry as POSCAR:
```
ZnW2Cl
1.0
-0.084 0.288 -3.052
4.192 -1.062 -0.216
-3.447 -5.017 1.163
Zn W Cl
1 2 1
Cartesian
1.956 -0.767 -1.667 Zn
0.663 -5.782 -2.105 W
-0.503 -1.645 -1.682 W
1.260 -3.773 -0.391 Cl
```

- DOS at the Fermi energy (states/eV/f.u.) = 2.199
- polymorph energy (0 for the lowest one) (eV per atom) = 0.0000
- E_form (uncorrected) (kJ/mol of atoms) = 67.4
- M_tot (μB per atom) = 0.0000


Compound: RbGdH2S2O9
Source: Alexandria via LeMat-Bulk
Functional: SCAN
Structure: single point on PBEsol structure

Geometry as POSCAR:
```
RbGdH2S2O9
1.0
8.256 0.000 0.000
0.000 10.252 0.033
0.000 -4.935 9.421
Rb Gd H S O
4 4 8 8 36
Cartesian
6.667 6.468 2.723 Rb
2.538 1.316 2.020 Rb
1.590 -1.152 6.731 Rb
5.718 4.000 7.434 Rb
2.881 5.334 4.602 Gd
7.009 2.450 0.142 Gd
5.376 -0.017 4.852 Gd
1.248 2.866 9.313 Gd
0.400 4.758 5.912 H
4.528 -1.909 8.253 H
7.857 0.559 3.542 H
3.729 7.225 1.201 H
0.013 4.142 4.528 H
4.141 3.642 0.216 H
8.244 1.174 4.926 H
4.116 1.675 9.239 H
1.568 4.569 1.273 S
5.696 3.215 3.471 S
6.689 0.748 8.181 S
2.561 2.101 5.984 S
2.759 8.137 3.280 S
6.887 -0.353 1.463 S
5.498 -2.820 6.174 S
1.369 5.669 7.991 S
0.591 4.844 4.935 O
4.719 -1.995 9.230 O
7.665 0.473 4.520 O
3.537 7.311 0.224 O
2.603 4.462 0.241 O
6.732 3.322 4.503 O
0.870 5.887 1.175 O
5.653 0.854 9.214 O
0.391 4.596 7.607 O
4.519 -1.747 6.558 O
7.866 0.721 1.848 O
3.737 7.063 2.896 O
0.670 -3.395 8.497 O
4.798 6.243 5.668 O
7.586 8.711 0.957 O
3.458 -0.927 3.787 O
2.170 6.087 6.827 O
6.298 -3.238 7.338 O
6.086 -0.770 2.628 O
1.958 8.554 2.116 O
2.221 5.055 9.048 O
6.349 -2.206 5.117 O
6.036 0.261 0.406 O
1.908 7.523 4.338 O
3.537 0.996 5.850 O
7.666 1.853 8.315 O
4.719 4.320 3.604 O
0.591 3.464 1.140 O
1.975 1.976 7.344 O
6.103 0.872 6.821 O
6.281 3.340 2.111 O
2.153 4.444 2.633 O
3.259 3.419 5.886 O
7.387 -0.570 8.279 O
4.998 1.897 3.569 O
1.525 1.995 4.951 O
```

- DOS at the Fermi energy (states/eV/f.u.) = 0.000
- M_tot (μB per atom) = 0.4640
- energy (eV/atom) = -12.862


Compound: OsI2NO
Source: Alexandria via LeMat-Bulk
Functional: SCAN
Structure: single point on PBEsol structure

Geometry as POSCAR:
```
OsI2NO
1.0
-0.786 -3.066 -1.904
3.162 1.737 -4.101
4.299 -2.503 2.254
I Os O N
2 1 1 1
Cartesian
2.150 -1.251 1.127 I
1.581 0.868 -2.050 I
0.000 0.000 0.000 Os
-0.393 -1.533 -0.952 O
3.337 -1.916 -1.875 N
```

- DOS at the Fermi energy (states/eV/f.u.) = 4.192
- E_form (uncorrected) (kJ/mol of atoms) = 88.8
- M_tot (μB per atom) = 0.4737


Compound: CuSbRu2
Source: Alexandria via LeMat-Bulk
Functional: SCAN
Structure: single point on PBEsol structure

Geometry as POSCAR:
```
CuSbRu2
1.0
-2.771 0.984 0.384
0.000 -3.327 -2.921
-0.257 -2.386 4.257
Cu Ru Sb
1 2 1
Cartesian
-1.385 0.492 0.192 Cu
-2.278 -2.769 2.110 Ru
-0.750 -1.959 -0.390 Ru
-0.129 -1.193 2.129 Sb
```

- DOS at the Fermi energy (states/eV/f.u.) = 2.469
- E_form (uncorrected) (kJ/mol of atoms) = 21.6
- M_tot (μB per atom) = 0.0000


Compound: ScZnCl
Source: Alexandria via LeMat-Bulk
Functional: SCAN
Structure: single point on PBEsol structure

Geometry as POSCAR:
```
ScZnCl
1.0
3.164 0.000 0.000
0.000 3.164 0.000
-1.582 -1.582 6.175
Sc Zn Cl
1 1 1
Cartesian
0.000 0.000 4.223 Sc
1.582 1.582 2.455 Zn
1.582 1.582 5.671 Cl
```

- DOS at the Fermi energy (states/eV/f.u.) = 1.818
- E_form (uncorrected) (kJ/mol of atoms) = -76.9
- M_tot (μB per atom) = 0.2869


Compound: FePtSe2N
Source: Alexandria via LeMat-Bulk
Functional: SCAN
Structure: single point on PBEsol structure

Geometry as POSCAR:
```
FePtSe2N
1.0
3.289 0.000 0.000
0.000 4.759 0.000
0.000 0.000 4.759
N Se Pt Fe
1 2 1 1
Cartesian
1.644 0.000 0.000 N
0.000 0.000 2.380 Se
0.000 2.380 0.000 Se
1.644 2.380 2.380 Pt
0.000 0.000 0.000 Fe
```

- DOS at the Fermi energy (states/eV/f.u.) = 2.682
- E_form (uncorrected) (kJ/mol of atoms) = 48.1
- M_tot (μB per atom) = 0.0003


Compound: FeRuOF2
Source: Alexandria via LeMat-Bulk
Functional: SCAN
Structure: single point on PBEsol structure

Geometry as POSCAR:
```
FeRuOF2
1.0
3.671 0.000 0.000
0.000 4.194 0.000
0.000 0.000 4.194
Ru Fe O F
1 1 1 2
Cartesian
0.000 0.000 0.000 Ru
1.836 2.097 2.097 Fe
1.836 0.000 0.000 O
0.000 0.000 2.097 F
0.000 2.097 0.000 F
```

- DOS at the Fermi energy (states/eV/f.u.) = 4.511
- E_form (uncorrected) (kJ/mol of atoms) = -68.2
- M_tot (μB per atom) = 0.5275


Compound: CaSi2Pb
Source: Alexandria via LeMat-Bulk
Functional: SCAN
Structure: single point on PBEsol structure

Geometry as POSCAR:
```
CaSi2Pb
1.0
3.515 0.000 0.000
0.000 3.515 0.000
0.000 0.000 7.055
Ca Pb Si
1 1 2
Cartesian
0.000 0.000 3.248 Ca
1.758 1.758 5.589 Pb
0.000 0.000 0.404 Si
1.758 1.758 1.342 Si
```

- DOS at the Fermi energy (states/eV/f.u.) = 1.625
- E_form (uncorrected) (kJ/mol of atoms) = 9.1
- M_tot (μB per atom) = 0.0000


Compound: CaMnPb2
Source: Alexandria via LeMat-Bulk
Functional: SCAN
Structure: single point on PBEsol structure

Geometry as POSCAR:
```
CaMnPb2
1.0
3.915 0.061 0.000
-0.064 3.915 0.000
0.000 0.000 6.668
Ca Mn Pb
1 1 2
Cartesian
0.000 0.000 3.333 Ca
1.925 1.988 5.358 Mn
0.000 0.000 6.380 Pb
1.925 1.988 1.600 Pb
```

- formation enthalpy at 0 K (eV per atom) = -0.105
- DOS at the Fermi energy (states/eV/f.u.) = 2.975
- M_tot (μB per atom) = 1.0323


Compound: SrGeP2
Source: Alexandria via LeMat-Bulk
Functional: SCAN
Structure: single point on PBEsol structure

Geometry as POSCAR:
```
SrGeP2
1.0
6.270 0.047 -0.075
-2.462 5.767 0.075
2.462 2.541 5.177
Sr Ge P
2 2 4
Cartesian
3.135 2.101 1.276 Sr
0.000 0.000 0.000 Sr
3.135 6.255 3.902 Ge
0.000 4.154 2.626 Ge
-0.309 2.948 0.675 P
5.349 6.214 3.226 P
5.288 2.768 4.080 P
2.213 4.781 2.373 P
```

- formation enthalpy at 0 K (eV per atom) = -0.650
- M_tot (μB per atom) = 0.0000